# PBE with a Hubbard U MnTlF3, relaxed
data_MnTlF3
_chemical_formula_sum 'Mn2 Tl2 F6'
_cell_length_a 8.353
_cell_length_b 8.353
_cell_length_c 5.422
_cell_angle_alpha 90.00
_cell_angle_beta 90.00
_cell_angle_gamma 138.03
_symmetry_space_group_name_H-M 'P 1'
_symmetry_Int_Tables_number 1
loop_
_symmetry_equiv_pos_as_xyz
'x,y,z'
loop_
_atom_site_label
_atom_site_type_symbol
_atom_site_fract_x
_atom_site_fract_y
_atom_site_fract_z
F1 F 0.939 0.573 0.250
F2 F 0.573 0.939 0.750
F3 F 0.061 0.427 0.750
F4 F 0.000 0.000 0.500
F5 F 0.000 0.000 0.000
F6 F 0.427 0.061 0.250
Tl1 Tl 0.681 0.319 0.750
Tl2 Tl 0.319 0.681 0.250
Mn1 Mn 0.905 0.095 0.750
Mn2 Mn 0.095 0.905 0.250
# Symmetry = Cmcm
# V = 25.30 Å³/atom
# Uncorrected energy = -26.39 eV per formula unit
# M_tot = 1.000 μB per atom